No. 1
Material: RbNaCdN2
Method: DFT, meta-GGA SCAN
State: PBEsol geometry

Computed properties:
formation energy without anion corrections: 39.33 kcal/mol of atoms

The structure in CIF format:
```
data_RbNaCdN2
_chemical_formula_sum 'Rb1 Na1 Cd1 N2'
_space_group_name_H-M_alt 'P 4/m m m'
_space_group_IT_number 123
_space_group_name_Hall '-P 4 2'
_cell_length_a 5.133
_cell_length_b 5.133
_cell_length_c 5.663
_cell_angle_alpha 90.00
_cell_angle_beta 90.00
_cell_angle_gamma 90.00
loop_
_atom_site_label
_atom_site_type_symbol
_atom_site_fract_x
_atom_site_fract_y
_atom_site_fract_z
Rb1 Rb 0.000 0.000 0.000
Na1 Na 0.000 0.000 0.500
Cd1 Cd 0.500 0.500 0.500
N1 N 0.000 0.500 0.000
```



No. 2
Material: BeTe2IN
Method: DFT, meta-GGA SCAN
State: PBEsol geometry

Computed properties:
ΔE to the lowest computed polymorph: 0.000 eV per atom
formation energy without anion corrections: 28.19 kcal/mol of atoms

The structure in CIF format:
```
data_BeTe2IN
_chemical_formula_sum 'Be1 Te2 I1 N1'
_space_group_name_H-M_alt 'P 4/m m m'
_space_group_IT_number 123
_space_group_name_Hall '-P 4 2'
_cell_length_a 4.655
_cell_length_b 4.655
_cell_length_c 4.878
_cell_angle_alpha 90.00
_cell_angle_beta 90.00
_cell_angle_gamma 90.00
loop_
_atom_site_label
_atom_site_type_symbol
_atom_site_fract_x
_atom_site_fract_y
_atom_site_fract_z
Be1 Be 0.000 0.000 0.000
Te1 Te 0.000 0.500 0.500
I1 I 0.500 0.500 0.000
N1 N 0.500 0.500 0.500
```



No. 3
Material: SrHfNF2
Method: DFT, meta-GGA SCAN
State: PBEsol geometry

Computed properties:
formation energy without anion corrections: -21.59 kcal/mol of atoms

The structure in CIF format:
```
data_SrHfNF2
_chemical_formula_sum 'Sr1 Hf1 N1 F2'
_space_group_name_H-M_alt 'P 4/m m m'
_space_group_IT_number 123
_space_group_name_Hall '-P 4 2'
_cell_length_a 4.217
_cell_length_b 4.217
_cell_length_c 5.295
_cell_angle_alpha 90.00
_cell_angle_beta 90.00
_cell_angle_gamma 90.00
loop_
_atom_site_label
_atom_site_type_symbol
_atom_site_fract_x
_atom_site_fract_y
_atom_site_fract_z
Sr1 Sr 0.000 0.000 0.000
Hf1 Hf 0.500 0.500 0.500
N1 N 0.000 0.000 0.500
F1 F 0.000 0.500 0.000
```



No. 4
Material: Ba2SiRu
Method: DFT, meta-GGA SCAN
State: PBEsol geometry

Computed properties:
formation energy without anion corrections: -6.12 kcal/mol of atoms

The structure in CIF format:
```
data_Ba2SiRu
_chemical_formula_sum 'Ba4 Si2 Ru2'
_space_group_name_H-M_alt 'C 1 m 1'
_space_group_IT_number 8
_cell_length_a 7.239
_cell_length_b 4.174
_cell_length_c 9.171
_cell_angle_alpha 90.00
_cell_angle_beta 104.59
_cell_angle_gamma 90.00
loop_
_space_group_symop_operation_xyz
'x,y,z'
'x,-y,z'
'x+1/2,y+1/2,z'
'x+1/2,-y+1/2,z'
loop_
_atom_site_label
_atom_site_type_symbol
_atom_site_fract_x
_atom_site_fract_y
_atom_site_fract_z
Ba1 Ba 0.000 0.000 0.000
Ba2 Ba 0.162 0.000 0.509
Si1 Si 0.414 0.000 0.254
Ru1 Ru 0.248 0.500 0.256
```



No. 5
Material: CoGe3H
Method: DFT, meta-GGA SCAN
State: PBEsol geometry

Computed properties:
DFT total energy: -15.0168 eV/atom

The structure in CIF format:
```
data_CoGe3H
_chemical_formula_sum 'Co1 Ge3 H1'
_space_group_name_H-M_alt 'P m -3 m'
_space_group_IT_number 221
_space_group_name_Hall '-P 4 2 3'
_cell_length_a 4.414
_cell_length_b 4.414
_cell_length_c 4.414
_cell_angle_alpha 90.00
_cell_angle_beta 90.00
_cell_angle_gamma 90.00
loop_
_atom_site_label
_atom_site_type_symbol
_atom_site_fract_x
_atom_site_fract_y
_atom_site_fract_z
Co1 Co 0.000 0.000 0.000
Ge1 Ge 0.000 0.000 0.500
H1 H 0.500 0.500 0.500
```



No. 6
Material: MgSnRuBr2
Method: DFT, meta-GGA SCAN
State: PBEsol geometry

Computed properties:
formation energy without anion corrections: 14.16 kcal/mol of atoms

The structure in CIF format:
```
data_MgSnRuBr2
_chemical_formula_sum 'Mg1 Sn1 Ru1 Br2'
_space_group_name_H-M_alt 'P 4/m m m'
_space_group_IT_number 123
_space_group_name_Hall '-P 4 2'
_cell_length_a 5.596
_cell_length_b 5.596
_cell_length_c 5.100
_cell_angle_alpha 90.00
_cell_angle_beta 90.00
_cell_angle_gamma 90.00
loop_
_atom_site_label
_atom_site_type_symbol
_atom_site_fract_x
_atom_site_fract_y
_atom_site_fract_z
Mg1 Mg 0.000 0.000 0.000
Sn1 Sn 0.500 0.500 0.500
Ru1 Ru 0.500 0.500 0.000
Br1 Br 0.000 0.500 0.500
```



no.,M_tot (μB/f.u.)
1,4.0
2,0.0
3,1.0
4,0.0
5,0.0
6,1.6